No. 1
Entry from Alexandria: a relaxed Pr4Sm3ScTe8 crystal (PBE).

```
Pr4Sm3ScTe8
1.0
4.441 2.564 7.344
-4.441 2.564 7.344
0.000 -5.128 7.344
Pr Sm Sc Te
4 3 1 8
direct
0.000 0.000 0.000
0.000 0.500 0.500
0.500 0.000 0.500
0.500 0.500 0.000
0.000 0.000 0.500
0.000 0.500 0.000
0.500 0.000 0.000
0.500 0.500 0.500
0.248 0.248 0.248
0.255 0.740 0.740
0.260 0.260 0.745
0.260 0.745 0.260
0.740 0.255 0.740
0.740 0.740 0.255
0.745 0.260 0.260
0.752 0.752 0.752
```

Computed properties:
Calculated total energy: -5.409 eV/atom
Uncorrected formation energy: -1363 meV per atom
Total magnetic moment: 0.0 Bohr magnetons per cell

=====

No. 2
Entry from Alexandria: a relaxed Pr2SmScTl2 crystal (PBE).

```
Pr2SmScTl2
1.0
5.046 0.000 0.000
0.000 10.052 0.000
0.000 0.000 7.095
Pr Sm Sc Tl
4 2 2 4
direct
0.000 0.051 0.000
0.000 0.949 0.500
0.500 0.185 0.282
0.500 0.815 0.782
0.500 0.453 0.902
0.500 0.547 0.402
0.000 0.311 0.606
0.000 0.689 0.106
0.000 0.387 0.177
0.000 0.613 0.677
0.500 0.151 0.735
0.500 0.849 0.235
```

Computed properties:
Calculated total energy: -4.480 eV/atom
Energy of formation: -0.256 eV/atom
Total magnetic moment: 0.0 Bohr magnetons per cell